1.
{"formula": "K3Nb5N12", "functional": "PBE", "state": "relaxed", "lattice_angstrom": [[-6.947, 6.947, 6.947], [6.947, -6.947, 6.947], [6.947, 6.947, -6.947]], "species": ["K", "K", "K", "K", "K", "K", "K", "K", "K", "K", "K", "K", "Nb", "Nb", "Nb", "Nb", "Nb", "Nb", "Nb", "Nb", "Nb", "Nb", "Nb", "Nb", "Nb", "Nb", "Nb", "Nb", "Nb", "Nb", "Nb", "Nb", "N", "N", "N", "N", "N", "N", "N", "N", "N", "N", "N", "N", "N", "N", "N", "N", "N", "N", "N", "N", "N", "N", "N", "N", "N", "N", "N", "N", "N", "N", "N", "N", "N", "N", "N", "N", "N", "N", "N", "N", "N", "N", "N", "N", "N", "N", "N", "N"], "frac_coords": [[0.125, 0.250, 0.375], [0.125, 0.375, 0.750], [0.250, 0.375, 0.125], [0.250, 0.875, 0.625], [0.375, 0.125, 0.250], [0.375, 0.750, 0.125], [0.625, 0.250, 0.875], [0.625, 0.875, 0.750], [0.750, 0.125, 0.375], [0.750, 0.625, 0.875], [0.875, 0.625, 0.250], [0.875, 0.750, 0.625], [0.000, 0.000, 0.000], [0.000, 0.000, 0.500], [0.000, 0.500, 0.000], [0.000, 0.500, 0.500], [0.125, 0.750, 0.875], [0.125, 0.875, 0.250], [0.250, 0.125, 0.875], [0.250, 0.625, 0.375], [0.375, 0.250, 0.625], [0.375, 0.625, 0.750], [0.500, 0.000, 0.000], [0.500, 0.000, 0.500], [0.500, 0.500, 0.000], [0.500, 0.500, 0.500], [0.625, 0.375, 0.250], [0.625, 0.750, 0.375], [0.750, 0.375, 0.625], [0.750, 0.875, 0.125], [0.875, 0.125, 0.750], [0.875, 0.250, 0.125], [0.009, 0.683, 0.109], [0.009, 0.826, 0.900], [0.074, 0.674, 0.683], [0.074, 0.900, 0.391], [0.100, 0.609, 0.926], [0.100, 0.991, 0.174], [0.109, 0.009, 0.683], [0.109, 0.600, 0.426], [0.174, 0.100, 0.991], [0.174, 0.574, 0.183], [0.183, 0.174, 0.574], [0.183, 0.509, 0.609], [0.317, 0.891, 0.991], [0.317, 0.926, 0.326], [0.326, 0.317, 0.926], [0.326, 0.509, 0.400], [0.391, 0.074, 0.900], [0.391, 0.817, 0.491], [0.400, 0.326, 0.509], [0.400, 0.574, 0.891], [0.426, 0.109, 0.600], [0.426, 0.817, 0.826], [0.491, 0.391, 0.817], [0.491, 0.600, 0.674], [0.509, 0.400, 0.326], [0.509, 0.609, 0.183], [0.574, 0.183, 0.174], [0.574, 0.891, 0.400], [0.600, 0.426, 0.109], [0.600, 0.674, 0.491], [0.609, 0.183, 0.509], [0.609, 0.926, 0.100], [0.674, 0.491, 0.600], [0.674, 0.683, 0.074], [0.683, 0.074, 0.674], [0.683, 0.109, 0.009], [0.817, 0.491, 0.391], [0.817, 0.826, 0.426], [0.826, 0.426, 0.817], [0.826, 0.900, 0.009], [0.891, 0.400, 0.574], [0.891, 0.991, 0.317], [0.900, 0.009, 0.826], [0.900, 0.391, 0.074], [0.926, 0.100, 0.609], [0.926, 0.326, 0.317], [0.991, 0.174, 0.100], [0.991, 0.317, 0.891]], "magnetic_moment_mub_per_cell": 32.15, "dos_at_fermi_per_ev_cell": 22.2, "e_form_raw_mev_per_atom": 28}

---

2.
{"formula": "PC3Cl", "functional": "PBE", "state": "relaxed", "lattice_angstrom": [[3.704, 0.000, 0.000], [0.000, 3.704, 0.000], [0.000, 0.000, 3.704]], "species": ["P", "C", "C", "C", "Cl"], "frac_coords": [[0.000, 0.000, 0.000], [0.000, 0.000, 0.500], [0.000, 0.500, 0.000], [0.500, 0.000, 0.000], [0.500, 0.500, 0.500]], "magnetic_moment_mub_per_cell": 0.00, "dos_at_fermi_per_ev_cell": 4.3, "e_form_raw_mev_per_atom": 2432}

---

3.
{"formula": "NdGa2RuRh", "functional": "PBE", "state": "relaxed", "lattice_angstrom": [[4.401, 0.000, 0.000], [0.000, 4.401, 0.000], [0.000, 0.000, 9.686]], "species": ["Nd", "Nd", "Ga", "Ga", "Ga", "Ga", "Ru", "Ru", "Rh", "Rh"], "frac_coords": [[0.000, 0.000, 0.000], [0.500, 0.500, 0.500], [0.000, 0.000, 0.366], [0.000, 0.000, 0.634], [0.500, 0.500, 0.134], [0.500, 0.500, 0.866], [0.000, 0.500, 0.250], [0.500, 0.000, 0.750], [0.000, 0.500, 0.750], [0.500, 0.000, 0.250]], "delta_e_f_mev_per_atom": -627.1, "magnetic_moment_mub_per_cell": 0.00, "dos_at_fermi_per_ev_cell": 3.6}

---

4.
{"formula": "Sm12Hg3O5", "functional": "PBE", "state": "relaxed", "lattice_angstrom": [[-7.956, 7.956, 7.956], [7.956, -7.956, 7.956], [7.956, 7.956, -7.956]], "species": ["Sm", "Sm", "Sm", "Sm", "Sm", "Sm", "Sm", "Sm", "Sm", "Sm", "Sm", "Sm", "Sm", "Sm", "Sm", "Sm", "Sm", "Sm", "Sm", "Sm", "Sm", "Sm", "Sm", "Sm", "Sm", "Sm", "Sm", "Sm", "Sm", "Sm", "Sm", "Sm", "Sm", "Sm", "Sm", "Sm", "Sm", "Sm", "Sm", "Sm", "Sm", "Sm", "Sm", "Sm", "Sm", "Sm", "Sm", "Sm", "Hg", "Hg", "Hg", "Hg", "Hg", "Hg", "Hg", "Hg", "Hg", "Hg", "Hg", "Hg", "O", "O", "O", "O", "O", "O", "O", "O", "O", "O", "O", "O", "O", "O", "O", "O", "O", "O", "O", "O"], "frac_coords": [[0.010, 0.198, 0.108], [0.010, 0.313, 0.903], [0.090, 0.698, 0.687], [0.090, 0.892, 0.403], [0.097, 0.608, 0.410], [0.097, 0.990, 0.687], [0.108, 0.010, 0.198], [0.108, 0.597, 0.910], [0.187, 0.198, 0.590], [0.187, 0.490, 0.597], [0.198, 0.108, 0.010], [0.198, 0.590, 0.187], [0.302, 0.313, 0.910], [0.302, 0.490, 0.392], [0.313, 0.903, 0.010], [0.313, 0.910, 0.302], [0.392, 0.302, 0.490], [0.392, 0.590, 0.903], [0.403, 0.090, 0.892], [0.403, 0.813, 0.510], [0.410, 0.097, 0.608], [0.410, 0.813, 0.802], [0.490, 0.392, 0.302], [0.490, 0.597, 0.187], [0.510, 0.403, 0.813], [0.510, 0.608, 0.698], [0.590, 0.187, 0.198], [0.590, 0.903, 0.392], [0.597, 0.187, 0.490], [0.597, 0.910, 0.108], [0.608, 0.410, 0.097], [0.608, 0.698, 0.510], [0.687, 0.090, 0.698], [0.687, 0.097, 0.990], [0.698, 0.510, 0.608], [0.698, 0.687, 0.090], [0.802, 0.410, 0.813], [0.802, 0.892, 0.990], [0.813, 0.510, 0.403], [0.813, 0.802, 0.410], [0.892, 0.403, 0.090], [0.892, 0.990, 0.802], [0.903, 0.010, 0.313], [0.903, 0.392, 0.590], [0.910, 0.108, 0.597], [0.910, 0.302, 0.313], [0.990, 0.687, 0.097], [0.990, 0.802, 0.892], [0.125, 0.250, 0.375], [0.125, 0.375, 0.750], [0.250, 0.375, 0.125], [0.250, 0.875, 0.625], [0.375, 0.125, 0.250], [0.375, 0.750, 0.125], [0.625, 0.250, 0.875], [0.625, 0.875, 0.750], [0.750, 0.125, 0.375], [0.750, 0.625, 0.875], [0.875, 0.625, 0.250], [0.875, 0.750, 0.625], [0.000, 0.000, 0.000], [0.000, 0.000, 0.500], [0.000, 0.500, 0.000], [0.000, 0.500, 0.500], [0.125, 0.750, 0.875], [0.125, 0.875, 0.250], [0.250, 0.125, 0.875], [0.250, 0.625, 0.375], [0.375, 0.250, 0.625], [0.375, 0.625, 0.750], [0.500, 0.000, 0.000], [0.500, 0.000, 0.500], [0.500, 0.500, 0.000], [0.500, 0.500, 0.500], [0.625, 0.375, 0.250], [0.625, 0.750, 0.375], [0.750, 0.375, 0.625], [0.750, 0.875, 0.125], [0.875, 0.125, 0.750], [0.875, 0.250, 0.125]], "magnetic_moment_mub_per_cell": 9.59, "dos_at_fermi_per_ev_cell": 73.3, "e_form_raw_mev_per_atom": -1501}

---

5.
{"formula": "Li2NdPb9", "functional": "PBE", "state": "relaxed", "lattice_angstrom": [[4.830, 0.000, 0.000], [0.000, 4.830, 0.000], [0.000, 0.000, 14.881]], "species": ["Li", "Li", "Nd", "Pb", "Pb", "Pb", "Pb", "Pb", "Pb", "Pb", "Pb", "Pb"], "frac_coords": [[0.000, 0.000, 0.167], [0.000, 0.000, 0.833], [0.000, 0.000, 0.500], [0.000, 0.500, 0.000], [0.000, 0.500, 0.325], [0.000, 0.500, 0.675], [0.500, 0.000, 0.000], [0.500, 0.000, 0.325], [0.500, 0.000, 0.675], [0.500, 0.500, 0.162], [0.500, 0.500, 0.500], [0.500, 0.500, 0.838]], "delta_e_f_mev_per_atom": -200.2, "magnetic_moment_mub_per_cell": 0.00, "dos_at_fermi_per_ev_cell": 4.6}

---

6.
{"formula": "Er2Tc12P7", "functional": "PBE", "state": "relaxed", "lattice_angstrom": [[9.539, 0.000, 0.000], [-4.770, 8.261, 0.000], [0.000, 0.000, 3.952]], "species": ["Er", "Er", "Tc", "Tc", "Tc", "Tc", "Tc", "Tc", "Tc", "Tc", "Tc", "Tc", "Tc", "Tc", "P", "P", "P", "P", "P", "P", "P"], "frac_coords": [[0.000, 0.000, 0.000], [0.333, 0.667, 0.500], [0.066, 0.766, 0.500], [0.100, 0.375, 0.000], [0.234, 0.300, 0.500], [0.276, 0.900, 0.000], [0.393, 0.217, 0.000], [0.544, 0.117, 0.500], [0.573, 0.456, 0.500], [0.625, 0.724, 0.000], [0.700, 0.934, 0.500], [0.783, 0.176, 0.000], [0.824, 0.607, 0.000], [0.883, 0.427, 0.500], [0.073, 0.608, 0.000], [0.264, 0.059, 0.500], [0.392, 0.465, 0.000], [0.535, 0.927, 0.000], [0.667, 0.333, 0.000], [0.795, 0.736, 0.500], [0.941, 0.205, 0.500]], "delta_e_f_mev_per_atom": -595.3, "magnetic_moment_mub_per_cell": 0.00, "dos_at_fermi_per_ev_cell": 17.1}

---

7.
{"formula": "K3NpPb2Se6", "functional": "PBE", "state": "relaxed", "lattice_angstrom": [[3.803, -6.583, 0.000], [3.803, 6.583, 0.000], [-2.549, 0.000, 7.559]], "species": ["K", "K", "K", "Np", "Pb", "Pb", "Se", "Se", "Se", "Se", "Se", "Se"], "frac_coords": [[0.000, 0.000, 0.000], [0.326, 0.674, 0.000], [0.674, 0.326, 0.000], [0.500, 0.500, 0.500], [0.166, 0.834, 0.500], [0.834, 0.166, 0.500], [0.127, 0.431, 0.292], [0.268, 0.268, 0.709], [0.431, 0.127, 0.292], [0.569, 0.873, 0.708], [0.732, 0.732, 0.291], [0.873, 0.569, 0.708]], "magnetic_moment_mub_per_cell": 2.00, "dos_at_fermi_per_ev_cell": 7.5, "e_form_raw_mev_per_atom": -1006}

---

8.
{"formula": "Pm12Fe5C15", "functional": "PBE", "state": "relaxed", "lattice_angstrom": [[10.655, 0.000, 0.000], [-5.328, 9.228, 0.000], [0.000, 0.000, 5.263]], "species": ["Pm", "Pm", "Pm", "Pm", "Pm", "Pm", "Pm", "Pm", "Pm", "Pm", "Pm", "Pm", "Fe", "Fe", "Fe", "Fe", "Fe", "C", "C", "C", "C", "C", "C", "C", "C", "C", "C", "C", "C", "C", "C", "C"], "frac_coords": [[0.000, 0.209, 0.000], [0.000, 0.571, 0.000], [0.185, 0.456, 0.500], [0.209, 0.000, 0.000], [0.271, 0.815, 0.500], [0.429, 0.429, 0.000], [0.456, 0.185, 0.500], [0.544, 0.729, 0.500], [0.571, 0.000, 0.000], [0.729, 0.544, 0.500], [0.791, 0.791, 0.000], [0.815, 0.271, 0.500], [0.000, 0.845, 0.500], [0.155, 0.155, 0.500], [0.333, 0.667, 0.000], [0.667, 0.333, 0.000], [0.845, 0.000, 0.500], [0.000, 0.192, 0.500], [0.000, 0.553, 0.500], [0.000, 0.679, 0.500], [0.192, 0.000, 0.500], [0.192, 0.480, 0.000], [0.288, 0.808, 0.000], [0.321, 0.321, 0.500], [0.447, 0.447, 0.500], [0.480, 0.192, 0.000], [0.520, 0.712, 0.000], [0.553, 0.000, 0.500], [0.679, 0.000, 0.500], [0.712, 0.520, 0.000], [0.808, 0.288, 0.000], [0.808, 0.808, 0.500]], "delta_e_f_mev_per_atom": -234.7, "magnetic_moment_mub_per_cell": 3.25, "dos_at_fermi_per_ev_cell": 14.5}

---

9.
{"formula": "MgCu2Br", "functional": "PBE", "state": "relaxed", "lattice_angstrom": [[6.624, 0.000, 0.000], [0.000, 6.624, 0.000], [0.000, 0.000, 6.624]], "species": ["Mg", "Mg", "Mg", "Mg", "Cu", "Cu", "Cu", "Cu", "Cu", "Cu", "Cu", "Cu", "Br", "Br", "Br", "Br"], "frac_coords": [[0.000, 0.000, 0.000], [0.000, 0.500, 0.500], [0.500, 0.000, 0.500], [0.500, 0.500, 0.000], [0.000, 0.000, 0.500], [0.000, 0.500, 0.000], [0.250, 0.250, 0.750], [0.250, 0.750, 0.250], [0.500, 0.000, 0.000], [0.500, 0.500, 0.500], [0.750, 0.250, 0.250], [0.750, 0.750, 0.750], [0.250, 0.250, 0.250], [0.250, 0.750, 0.750], [0.750, 0.250, 0.750], [0.750, 0.750, 0.250]], "magnetic_moment_mub_per_cell": 0.00, "dos_at_fermi_per_ev_cell": 4.2, "e_form_raw_mev_per_atom": 319}

---

10.
{"formula": "NaTl2SbTe4", "functional": "PBE", "state": "relaxed", "lattice_angstrom": [[-4.531, 4.535, 6.384], [4.531, -4.535, 6.384], [4.531, 4.535, -6.384]], "species": ["Na", "Na", "Tl", "Tl", "Tl", "Tl", "Sb", "Sb", "Te", "Te", "Te", "Te", "Te", "Te", "Te", "Te"], "frac_coords": [[0.500, 0.000, 0.000], [0.500, 0.500, 0.500], [0.000, 0.000, 0.000], [0.000, 0.000, 0.500], [0.000, 0.500, 0.000], [0.500, 0.000, 0.500], [0.000, 0.500, 0.500], [0.500, 0.500, 0.000], [0.238, 0.742, 0.496], [0.252, 0.269, 0.517], [0.252, 0.736, 0.983], [0.254, 0.258, 0.996], [0.746, 0.742, 0.004], [0.748, 0.264, 0.017], [0.748, 0.731, 0.483], [0.762, 0.258, 0.504]], "magnetic_moment_mub_per_cell": 0.00, "dos_at_fermi_per_ev_cell": 7.0, "e_form_raw_mev_per_atom": -286}

---

11.
{"formula": "PrTh3Zn4", "functional": "PBE", "state": "relaxed", "lattice_angstrom": [[3.666, 0.000, 0.000], [0.000, 5.206, 0.000], [0.000, 0.000, 10.414]], "species": ["Pr", "Th", "Th", "Th", "Zn", "Zn", "Zn", "Zn"], "frac_coords": [[0.000, 0.000, 0.000], [0.000, 0.000, 0.500], [0.000, 0.500, 0.251], [0.000, 0.500, 0.749], [0.500, 0.000, 0.250], [0.500, 0.000, 0.750], [0.500, 0.500, 0.000], [0.500, 0.500, 0.500]], "delta_e_f_mev_per_atom": -205.4, "magnetic_moment_mub_per_cell": 0.00, "dos_at_fermi_per_ev_cell": 6.2}

---

12.
{"formula": "Zn2AgHg", "functional": "PBE", "state": "relaxed", "lattice_angstrom": [[3.238, 0.000, 0.000], [0.000, 5.040, 0.000], [0.000, 0.000, 9.027]], "species": ["Zn", "Zn", "Zn", "Zn", "Ag", "Ag", "Hg", "Hg"], "frac_coords": [[0.000, 0.000, 0.000], [0.000, 0.500, 0.225], [0.500, 0.000, 0.225], [0.500, 0.500, 0.000], [0.000, 0.500, 0.764], [0.500, 0.000, 0.764], [0.000, 0.000, 0.488], [0.500, 0.500, 0.488]], "delta_e_f_mev_per_atom": 114.1, "magnetic_moment_mub_per_cell": 0.00, "dos_at_fermi_per_ev_cell": 2.1}